Entry 1:
VASP calculation (SCAN) on a crystal of CrW2Br relaxed with PBEsol. Values from VASP.

Geometry as Quantum ESPRESSO input:
```
&SYSTEM
  ibrav = 0, nat = 4, ntyp = 3
/
ATOMIC_SPECIES
Cr 52.00 Cr.upf
W 183.84 W.upf
Br 79.90 Br.upf
CELL_PARAMETERS angstrom
1.558 -2.407 0.000
1.558 2.407 0.000
0.000 0.000 8.660
ATOMIC_POSITIONS angstrom
Cr 0.000 0.000 0.000
W 0.000 0.000 4.598
W 1.558 0.000 6.677
Br 1.558 0.000 2.029
```

Output
SG	Cmm2 (35)
relative energy among the computed polymorphs	0.0	meV/atom
energy relative to the elements, uncorrected	704.9	meV/atom


Entry 2:
VASP calculation (SCAN) on a crystal of Cr2WBr relaxed with PBEsol. Values from VASP.

Geometry as Quantum ESPRESSO input:
```
&SYSTEM
  ibrav = 0, nat = 4, ntyp = 3
/
ATOMIC_SPECIES
Cr 52.00 Cr.upf
W 183.84 W.upf
Br 79.90 Br.upf
CELL_PARAMETERS angstrom
1.442 0.833 8.010
-1.442 0.833 8.010
0.000 -1.665 8.010
ATOMIC_POSITIONS angstrom
Cr 0.000 0.000 0.000
Cr 0.000 0.000 6.450
W 0.000 0.000 18.174
Br 0.000 0.000 12.332
```

Output
SG	R3m (160)
energy relative to the elements, uncorrected	822.4	meV/atom


Entry 3:
VASP calculation (SCAN) on a crystal of Zr2CrWBr relaxed with PBEsol. Values from VASP.

Geometry as Quantum ESPRESSO input:
```
&SYSTEM
  ibrav = 0, nat = 5, ntyp = 4
/
ATOMIC_SPECIES
Zr 91.22 Zr.upf
Cr 52.00 Cr.upf
W 183.84 W.upf
Br 79.90 Br.upf
CELL_PARAMETERS angstrom
4.869 0.000 0.000
0.000 4.869 0.000
0.000 0.000 4.577
ATOMIC_POSITIONS angstrom
Zr 0.000 2.435 0.000
Zr 2.435 0.000 0.000
Cr 0.000 0.000 2.288
W 2.435 2.435 2.288
Br 2.435 2.435 0.000
```

Output
SG	P4/mmm (123)
energy relative to the elements, uncorrected	1138.8	meV/atom


Entry 4:
VASP calculation (SCAN) on a crystal of ZnCrBr4 relaxed with PBEsol. Values from VASP.

Geometry as Quantum ESPRESSO input:
```
&SYSTEM
  ibrav = 0, nat = 6, ntyp = 3
/
ATOMIC_SPECIES
Zn 65.41 Zn.upf
Cr 52.00 Cr.upf
Br 79.90 Br.upf
CELL_PARAMETERS angstrom
0.000 4.310 4.310
4.310 0.000 4.310
4.310 4.310 0.000
ATOMIC_POSITIONS angstrom
Zn 0.000 0.000 0.000
Cr 6.465 6.465 6.465
Br 3.233 3.233 3.233
Br 5.387 5.387 3.233
Br 5.387 3.233 5.387
Br 3.233 5.387 5.387
```

Output
SG	F-43m (216)
energy relative to the elements, uncorrected	678.7	meV/atom


Entry 5:
VASP calculation (SCAN) on a crystal of Zn2CrBr relaxed with PBEsol. Values from VASP.

Geometry as Quantum ESPRESSO input:
```
&SYSTEM
  ibrav = 0, nat = 4, ntyp = 3
/
ATOMIC_SPECIES
Zn 65.41 Zn.upf
Cr 52.00 Cr.upf
Br 79.90 Br.upf
CELL_PARAMETERS angstrom
3.159 0.000 0.000
0.000 3.159 0.000
0.000 0.000 7.387
ATOMIC_POSITIONS angstrom
Zn 0.000 0.000 0.000
Zn 1.580 1.580 1.308
Cr 1.580 1.580 5.739
Br 0.000 0.000 4.153
```

Output
SG	P4mm (99)
relative energy among the computed polymorphs	0.0	meV/atom
energy relative to the elements, uncorrected	94.9	meV/atom


Entry 6:
VASP calculation (SCAN) on a crystal of ZnCrBr2 relaxed with PBEsol. Values from VASP.

Geometry as Quantum ESPRESSO input:
```
&SYSTEM
  ibrav = 0, nat = 4, ntyp = 3
/
ATOMIC_SPECIES
Zn 65.41 Zn.upf
Cr 52.00 Cr.upf
Br 79.90 Br.upf
CELL_PARAMETERS angstrom
0.000 3.441 3.441
3.441 0.000 3.441
3.441 3.441 0.000
ATOMIC_POSITIONS angstrom
Zn 0.000 0.000 0.000
Cr 3.441 3.441 3.441
Br 1.721 1.721 1.721
Br 5.162 5.162 5.162
```

Output
SG	Fm-3m (225)
relative energy among the computed polymorphs	353.2	meV/atom
energy relative to the elements, uncorrected	-22.7	meV/atom


Entry 7:
VASP calculation (SCAN) on a crystal of ZnCr2Br relaxed with PBEsol. Values from VASP.

Geometry as Quantum ESPRESSO input:
```
&SYSTEM
  ibrav = 0, nat = 4, ntyp = 3
/
ATOMIC_SPECIES
Zn 65.41 Zn.upf
Cr 52.00 Cr.upf
Br 79.90 Br.upf
CELL_PARAMETERS angstrom
0.000 3.173 3.173
3.173 0.000 3.173
3.173 3.173 0.000
ATOMIC_POSITIONS angstrom
Zn 0.000 0.000 0.000
Cr 3.173 3.173 3.173
Cr 4.759 4.759 4.759
Br 1.586 1.586 1.586
```

Output
SG	F-43m (216)
energy relative to the elements, uncorrected	568.6	meV/atom


Entry 8:
VASP calculation (SCAN) on a crystal of ZnCrBr relaxed with PBEsol. Values from VASP.

Geometry as Quantum ESPRESSO input:
```
&SYSTEM
  ibrav = 0, nat = 3, ntyp = 3
/
ATOMIC_SPECIES
Zn 65.41 Zn.upf
Cr 52.00 Cr.upf
Br 79.90 Br.upf
CELL_PARAMETERS angstrom
3.089 0.000 0.000
-1.545 2.676 0.000
0.000 0.000 6.210
ATOMIC_POSITIONS angstrom
Zn 0.000 0.000 0.000
Cr 0.000 1.784 1.823
Br 1.545 0.892 3.429
```

Output
SG	P3m1 (156)
energy relative to the elements, uncorrected	267.1	meV/atom


> Number 7 is which compound?

ZnCr2Br


> Which of these has the lowest energy relative to the elements, uncorrected?

ZnCrBr2


What did the seventh record say?
VASP calculation (SCAN) on a crystal of ZnCr2Br relaxed with PBEsol. Values from VASP.

Geometry as Quantum ESPRESSO input:
```
&SYSTEM
  ibrav = 0, nat = 4, ntyp = 3
/
ATOMIC_SPECIES
Zn 65.41 Zn.upf
Cr 52.00 Cr.upf
Br 79.90 Br.upf
CELL_PARAMETERS angstrom
0.000 3.173 3.173
3.173 0.000 3.173
3.173 3.173 0.000
ATOMIC_POSITIONS angstrom
Zn 0.000 0.000 0.000
Cr 3.173 3.173 3.173
Cr 4.759 4.759 4.759
Br 1.586 1.586 1.586
```

Output
SG	F-43m (216)
energy relative to the elements, uncorrected	568.6	meV/atom